MnHgSe after structural relaxation, computed with PBE.

Cell: 6.2666 6.2666 6.5811 Å, 105.68 105.68 30.33°
Element x y z (fractional)
Mn  0.1683  0.1683  0.4002
Mn  0.8317  0.8317  0.5998
Hg  0.0000  0.0000  0.0000
Hg  0.5000  0.5000  0.5000
Se  0.2502  0.2502  0.7665
Se  0.7498  0.7498  0.2335

total moment: 3.0 μB per cell
raw total energy: -26.343 eV per cell
offset from the most stable computed form: 0.0825 eV per atom
formation energy from raw total energies: -0.072 eV/atom


ScC5 after structural relaxation, computed with PBE.

Cell: 2.5900 5.5456 5.5456 Å, 39.34 90.00 90.00°
Element x y z (fractional)
Sc  0.0000  0.0000  0.0000
C  0.0000  0.2281  0.2281
C  0.0000  0.6520  0.6520
C  0.5000  0.3021  0.3021
C  0.5000  0.4355  0.4355
C  0.5000  0.5762  0.5762

total moment: 0.0 μB per cell
raw total energy: -47.497 eV per cell
offset from the most stable computed form: 0.2611 eV per atom
energy relative to the elements: 0.8257 eV per atom


RbCaZn3 after structural relaxation, computed with PBE.

Cell: 5.8911 5.8911 5.8911 Å, 90.00 90.00 90.00°
Element x y z (fractional)
Rb  0.0000  0.0000  0.0000
Ca  0.5000  0.5000  0.5000
Zn  0.0000  0.5000  0.5000
Zn  0.5000  0.0000  0.5000
Zn  0.5000  0.5000  0.0000

total moment: 0.0 μB per cell
raw total energy: -4.912 eV per cell
offset from the most stable computed form: 0.0000 eV per atom
energy relative to the elements: 0.3758 eV per atom


ThZrScPa after structural relaxation, computed with PBE.

Cell: 5.2748 5.2748 5.2748 Å, 60.00 60.00 60.00°
Element x y z (fractional)
Th  0.0000  0.0000  0.0000
Zr  0.5000  0.5000  0.5000
Sc  0.7500  0.7500  0.7500
Pa  0.2500  0.2500  0.2500

total moment: 0.0 μB per cell
raw total energy: -30.886 eV per cell
energy relative to the elements: 0.2275 eV per atom


ZnTcPb2 after structural relaxation, computed with PBE.

Cell: 5.1432 5.1432 5.3838 Å, 98.78 98.78 37.89°
Element x y z (fractional)
Zn  0.0000  0.0000  0.0000
Tc  0.5000  0.5000  0.5000
Pb  0.2361  0.2361  0.7374
Pb  0.7639  0.7639  0.2626

total moment: 1.0 μB per cell
raw total energy: -16.525 eV per cell
energy relative to the elements: 0.6329 eV per atom


Th3Sc2Sb3 after structural relaxation, computed with PBE.

Cell: 9.0545 9.0545 6.1613 Å, 90.00 90.00 120.00°
Element x y z (fractional)
Th  0.0000  0.2450  0.2500
Th  0.0000  0.7550  0.7500
Th  0.2450  0.0000  0.2500
Th  0.2450  0.2450  0.7500
Th  0.7550  0.0000  0.7500
Th  0.7550  0.7550  0.2500
Sc  0.3333  0.6667  0.0000
Sc  0.3333  0.6667  0.5000
Sc  0.6667  0.3333  0.0000
Sc  0.6667  0.3333  0.5000
Sb  0.0000  0.4020  0.7500
Sb  0.0000  0.5980  0.2500
Sb  0.4020  0.0000  0.7500
Sb  0.4020  0.4020  0.2500
Sb  0.5980  0.0000  0.2500
Sb  0.5980  0.5980  0.7500

total moment: 1.0 μB per cell
raw total energy: -106.084 eV per cell
formation energy from raw total energies: -0.719 eV/atom


LiMgCdAg2 after structural relaxation, computed with PBE.

Cell: 6.5320 4.2380 6.6531 Å, 90.00 91.75 90.00°
Element x y z (fractional)
Li  0.1646  0.2500  0.0555
Li  0.8354  0.7500  0.9445
Mg  0.2482  0.7500  0.7571
Mg  0.7518  0.2500  0.2429
Cd  0.3364  0.2500  0.4430
Cd  0.6636  0.7500  0.5570
Ag  0.0402  0.7500  0.3320
Ag  0.4469  0.7500  0.1456
Ag  0.5531  0.2500  0.8544
Ag  0.9598  0.2500  0.6680

total moment: 0.0 μB per cell
raw total energy: -22.009 eV per cell
energy relative to the elements: -0.1757 eV per atom


TlIrSe2 after structural relaxation, computed with PBE.

Cell: 3.1988 3.1988 8.4588 Å, 90.00 90.00 90.00°
Element x y z (fractional)
Tl  0.0000  0.0000  0.0000
Ir  0.0000  0.0000  0.5000
Se  0.5000  0.5000  0.3223
Se  0.5000  0.5000  0.6777

total moment: 0.0 μB per cell
raw total energy: -17.408 eV per cell
offset from the most stable computed form: 0.5048 eV per atom
formation energy from raw total energies: 0.197 eV/atom